VASP calculation (PBE) on a relaxed Zn2MoP crystal.

The structure in CIF format:
```
data_Zn2MoP
_chemical_formula_sum 'Zn8 Mo4 P4'
_cell_length_a 6.1569
_cell_length_b 6.1569
_cell_length_c 6.1569
_cell_angle_alpha 90.00
_cell_angle_beta 90.00
_cell_angle_gamma 90.00
_symmetry_space_group_name_H-M 'F -4 3 m'
_symmetry_Int_Tables_number 216
_symmetry_space_group_name_Hall 'F -4 2 3'
loop_
_atom_site_label
_atom_site_type_symbol
_atom_site_fract_x
_atom_site_fract_y
_atom_site_fract_z
_atom_site_occupancy
Zn1 Zn 0.0000 0.0000 0.0000 1
Zn2 Zn 0.2500 0.2500 0.2500 1
Mo1 Mo 0.0000 0.0000 0.5000 1
P1 P 0.2500 0.2500 0.7500 1
```

Results
crystal system = cubic
formation energy from the elements = 0.348 eV per atom
calculated total energy = -4.3492 eV per atom
total moment = 1.872 μB/cell

VASP calculation (PBE) on a relaxed ZnMoP3 crystal.

The structure in CIF format:
```
data_ZnMoP3
_chemical_formula_sum 'Zn1 Mo1 P3'
_cell_length_a 4.5407
_cell_length_b 4.5407
_cell_length_c 4.5407
_cell_angle_alpha 90.00
_cell_angle_beta 90.00
_cell_angle_gamma 90.00
_symmetry_space_group_name_H-M 'P m -3 m'
_symmetry_Int_Tables_number 221
_symmetry_space_group_name_Hall '-P 4 2 3'
loop_
_atom_site_label
_atom_site_type_symbol
_atom_site_fract_x
_atom_site_fract_y
_atom_site_fract_z
_atom_site_occupancy
Zn1 Zn 0.0000 0.0000 0.0000 1
Mo1 Mo 0.5000 0.5000 0.5000 1
P1 P 0.0000 0.0000 0.5000 1
```

Results
crystal system = cubic
formation energy from the elements = 1.276 eV per atom
calculated total energy = -4.3906 eV per atom
total moment = 2.703 μB/cell

VASP calculation (PBE) on a relaxed Zn2MoP crystal.

The structure in CIF format:
```
data_Zn2MoP
_chemical_formula_sum 'Zn4 Mo2 P2'
_cell_length_a 3.7471
_cell_length_b 3.7471
_cell_length_c 8.1257
_cell_angle_alpha 90.00
_cell_angle_beta 90.00
_cell_angle_gamma 90.00
_symmetry_space_group_name_H-M 'I -4 m 2'
_symmetry_Int_Tables_number 119
_symmetry_space_group_name_Hall 'I -4 -2'
loop_
_atom_site_label
_atom_site_type_symbol
_atom_site_fract_x
_atom_site_fract_y
_atom_site_fract_z
_atom_site_occupancy
Zn1 Zn 0.0000 0.0000 0.0000 1
Zn2 Zn 0.0000 0.5000 0.2500 1
Mo1 Mo 0.0000 0.5000 0.7500 1
P1 P 0.0000 0.0000 0.5000 1
```

Results
crystal system = tetragonal
formation energy from the elements = 0.080 eV per atom
calculated total energy = -4.6175 eV per atom
total moment = 0.000 μB/cell

VASP calculation (PBE) on a relaxed Zn2MoP crystal.

The structure in CIF format:
```
data_Zn2MoP
_chemical_formula_sum 'Zn2 Mo1 P1'
_cell_length_a 2.6729
_cell_length_b 4.4471
_cell_length_c 5.0369
_cell_angle_alpha 90.00
_cell_angle_beta 96.75
_cell_angle_gamma 90.00
_symmetry_space_group_name_H-M 'P 1 m 1'
_symmetry_Int_Tables_number 6
loop_
_symmetry_equiv_pos_as_xyz
'x,y,z'
'x,-y,z'
loop_
_atom_site_label
_atom_site_type_symbol
_atom_site_fract_x
_atom_site_fract_y
_atom_site_fract_z
_atom_site_occupancy
Zn1 Zn 0.0000 0.0000 0.0000 1
Zn2 Zn 0.1350 0.5000 0.7510 1
Mo1 Mo 0.5239 0.0000 0.4945 1
P1 P 0.3373 0.5000 0.2759 1
```

Results
crystal system = monoclinic
formation energy from the elements = 0.068 eV per atom
calculated total energy = -4.6297 eV per atom
total moment = 0.000 μB/cell

VASP calculation (PBE) on a relaxed Zn2MoP crystal.

The structure in CIF format:
```
data_Zn2MoP
_chemical_formula_sum 'Zn8 Mo4 P4'
_cell_length_a 7.2297
_cell_length_b 7.2297
_cell_length_c 4.8089
_cell_angle_alpha 90.00
_cell_angle_beta 90.00
_cell_angle_gamma 90.00
_symmetry_space_group_name_H-M 'I -4 2 d'
_symmetry_Int_Tables_number 122
_symmetry_space_group_name_Hall 'I -4 2bw'
loop_
_atom_site_label
_atom_site_type_symbol
_atom_site_fract_x
_atom_site_fract_y
_atom_site_fract_z
_atom_site_occupancy
Zn1 Zn 0.2155 0.2500 0.1250 1
Mo1 Mo 0.0000 0.0000 0.5000 1
P1 P 0.0000 0.0000 0.0000 1
```

Results
crystal system = tetragonal
formation energy from the elements = 0.297 eV per atom
calculated total energy = -4.4001 eV per atom
total moment = 0.000 μB/cell

VASP calculation (PBE) on a relaxed ZnMoP crystal.

The structure in CIF format:
```
data_ZnMoP
_chemical_formula_sum 'Zn4 Mo4 P4'
_cell_length_a 5.7023
_cell_length_b 5.7023
_cell_length_c 5.7023
_cell_angle_alpha 90.00
_cell_angle_beta 90.00
_cell_angle_gamma 90.00
_symmetry_space_group_name_H-M 'F -4 3 m'
_symmetry_Int_Tables_number 216
_symmetry_space_group_name_Hall 'F -4 2 3'
loop_
_atom_site_label
_atom_site_type_symbol
_atom_site_fract_x
_atom_site_fract_y
_atom_site_fract_z
_atom_site_occupancy
Zn1 Zn 0.0000 0.0000 0.0000 1
Mo1 Mo 0.0000 0.0000 0.5000 1
P1 P 0.2500 0.2500 0.7500 1
```

Results
crystal system = cubic
formation energy from the elements = 0.099 eV per atom
calculated total energy = -5.7392 eV per atom
total moment = 0.001 μB/cell